Entry from the Alexandria database: crystalline AsPbAu2C at its relaxed geometry (PBE).

abc: 4.292 4.292 5.370
angles: 90.00 90.00 90.00
Sites, in units of the cell vectors:
As (0.000, 0.000, 0.000)
Pb (0.500, 0.500, 0.000)
Au (0.000, 0.500, 0.500)
Au (0.500, 0.000, 0.500)
C (0.000, 0.000, 0.500)

## Properties
For the magnetic moment, the calculation gives 0.000 μB per formula unit. As for the calculated total energy: -0.149 hartree per atom. The energy relative to the elements comes out at 760 meV/atom. The space group is No. 123.